(1)
This record from Alexandria via LeMat-Bulk describes an optimized crystal structure of TlNiW2. The functional is GGA-PBE.

For the total magnetization, the calculation gives 0.0 μB/f.u. As for the density of states at the Fermi level: 7.4 states/eV/cell. For the calculated formation energy, the calculation gives 703 meV/atom.

Cell and atoms, written as CIF:
```
data_TlNiW2
_cell_length_a 9.3473
_cell_length_b 2.7985
_cell_length_c 5.1371
_cell_angle_alpha 90.00
_cell_angle_beta 99.00
_cell_angle_gamma 90.00
_space_group_name_H-M_alt 'C 1 m 1'
_space_group_IT_number 8
loop_
_space_group_symop_operation_xyz
'x,y,z'
'x,-y,z'
'x+1/2,y+1/2,z'
'x+1/2,-y+1/2,z'
loop_
_atom_site_label
_atom_site_type_symbol
_atom_site_fract_x
_atom_site_fract_y
_atom_site_fract_z
_atom_site_occupancy
Tl1 Tl 0.0000 0.0000 0.0000 1
Ni1 Ni 0.2525 0.5000 0.2305 1
W1 W 0.2371 0.0000 0.6983 1
W2 W 0.4770 0.0000 0.4841 1
```

***

(2)
This record from Alexandria via LeMat-Bulk describes an optimized crystal structure of AsPtSe2. The functional is GGA-PBE.

The calculation puts the formation energy (no corrections) at -0.05 eV/atom. For the total magnetization, the calculation gives 0.0 μB/f.u. As for the density of states at the Fermi level: 3.6 states/eV/cell.

Cell and atoms, written as CIF:
```
data_AsPtSe2
_cell_length_a 5.4309
_cell_length_b 5.4309
_cell_length_c 5.2290
_cell_angle_alpha 90.00
_cell_angle_beta 90.00
_cell_angle_gamma 90.00
_space_group_name_H-M_alt 'I 4/m m m'
_space_group_IT_number 139
_space_group_name_Hall '-I 4 2'
loop_
_atom_site_label
_atom_site_type_symbol
_atom_site_fract_x
_atom_site_fract_y
_atom_site_fract_z
_atom_site_occupancy
As1 As 0.0000 0.0000 0.0000 1
Pt1 Pt 0.0000 0.0000 0.5000 1
Se1 Se 0.0000 0.5000 0.0000 1
```

***

(3)
This record from Alexandria via LeMat-Bulk describes an optimized crystal structure of ZrSn2IrCl. The functional is GGA-PBE.

The calculation puts the formation energy (no corrections) at 0.66 eV/atom. For the total magnetization, the calculation gives 0.0 μB/f.u. As for the density of states at the Fermi level: 6.9 states/eV/cell.

Cell and atoms, written as CIF:
```
data_ZrSn2IrCl
_cell_length_a 5.7569
_cell_length_b 5.7569
_cell_length_c 4.8177
_cell_angle_alpha 90.00
_cell_angle_beta 90.00
_cell_angle_gamma 90.00
_space_group_name_H-M_alt 'P 4/m m m'
_space_group_IT_number 123
_space_group_name_Hall '-P 4 2'
loop_
_atom_site_label
_atom_site_type_symbol
_atom_site_fract_x
_atom_site_fract_y
_atom_site_fract_z
_atom_site_occupancy
Zr1 Zr 0.0000 0.0000 0.0000 1
Sn1 Sn 0.0000 0.5000 0.0000 1
Ir1 Ir 0.0000 0.0000 0.5000 1
Cl1 Cl 0.5000 0.5000 0.5000 1
```

***

(4)
This record from Alexandria via LeMat-Bulk describes an optimized crystal structure of Er3Sn4. The functional is GGA-PBE.

For the total magnetization, the calculation gives 0.0 μB/f.u. As for the density of states at the Fermi level: 10.7 states/eV/cell. For the calculated formation energy, the calculation gives -614 meV/atom.

Cell and atoms, written as CIF:
```
data_Er3Sn4
_cell_length_a 4.3122
_cell_length_b 11.3660
_cell_length_c 15.4470
_cell_angle_alpha 90.00
_cell_angle_beta 90.00
_cell_angle_gamma 90.00
_space_group_name_H-M_alt 'C m c m'
_space_group_IT_number 63
_space_group_name_Hall '-C 2c 2'
loop_
_atom_site_label
_atom_site_type_symbol
_atom_site_fract_x
_atom_site_fract_y
_atom_site_fract_z
_atom_site_occupancy
Er1 Er 0.0000 0.0677 0.2500 1
Er2 Er 0.0000 0.3382 0.0981 1
Sn1 Sn 0.0000 0.0000 0.0000 1
Sn2 Sn 0.0000 0.1979 0.7500 1
Sn3 Sn 0.0000 0.3706 0.6078 1
```

***

(5)
This record from Alexandria via LeMat-Bulk describes an optimized crystal structure of LiCe2Er. The functional is GGA-PBE.

For the total magnetization, the calculation gives 1.4 μB/f.u. As for the density of states at the Fermi level: 30.1 states/eV/cell. For the calculated formation energy, the calculation gives 231 meV/atom.

Cell and atoms, written as CIF:
```
data_LiCe2Er
_cell_length_a 3.2506
_cell_length_b 3.2506
_cell_length_c 36.9386
_cell_angle_alpha 90.00
_cell_angle_beta 90.00
_cell_angle_gamma 120.00
_space_group_name_H-M_alt 'R -3 m'
_space_group_IT_number 166
_space_group_name_Hall '-R 3 2"'
loop_
_atom_site_label
_atom_site_type_symbol
_atom_site_fract_x
_atom_site_fract_y
_atom_site_fract_z
_atom_site_occupancy
Li1 Li 0.0000 0.0000 0.0000 1
Ce1 Ce 0.0000 0.0000 0.0869 1
Er1 Er 0.0000 0.0000 0.5000 1
```

***

(6)
This record from Alexandria via LeMat-Bulk describes an optimized crystal structure of BPAu. The functional is GGA-PBE.

For the total magnetization, the calculation gives 0.0 μB/f.u. As for the density of states at the Fermi level: 1.1 states/eV/cell. For the calculated formation energy, the calculation gives -11 meV/atom.

Cell and atoms, written as CIF:
```
data_BPAu
_cell_length_a 3.2453
_cell_length_b 5.5837
_cell_length_c 5.5930
_cell_angle_alpha 64.38
_cell_angle_beta 89.36
_cell_angle_gamma 81.18
_space_group_name_H-M_alt 'P 1'
_space_group_IT_number 1
loop_
_space_group_symop_operation_xyz
'x,y,z'
loop_
_atom_site_label
_atom_site_type_symbol
_atom_site_fract_x
_atom_site_fract_y
_atom_site_fract_z
_atom_site_occupancy
B1 B 0.0000 0.0000 0.0000 1
B2 B 0.4675 0.0916 0.4793 1
P1 P 0.0053 0.9401 0.6843 1
P2 P 0.4948 0.0086 0.1737 1
Au1 Au 0.1236 0.4624 0.8468 1
Au2 Au 0.3332 0.5300 0.3149 1
```

***

(7)
This record from Alexandria via LeMat-Bulk describes an optimized crystal structure of DyCuAu. The functional is GGA-PBE.

For the total magnetization, the calculation gives 0.0 μB/f.u. As for the density of states at the Fermi level: 4.7 states/eV/cell. For the calculated formation energy, the calculation gives -536 meV/atom.

Cell and atoms, written as CIF:
```
data_DyCuAu
_cell_length_a 4.0722
_cell_length_b 4.2983
_cell_length_c 6.9897
_cell_angle_alpha 90.00
_cell_angle_beta 90.00
_cell_angle_gamma 90.00
_space_group_name_H-M_alt 'P m m n'
_space_group_IT_number 59
loop_
_space_group_symop_operation_xyz
'x,y,z'
'-x,-y,-z'
'-x+1/2,-y+1/2,z'
'x+1/2,y+1/2,-z'
'x+1/2,-y,-z'
'-x+1/2,y,z'
'-x,y+1/2,-z'
'x,-y+1/2,z'
loop_
_atom_site_label
_atom_site_type_symbol
_atom_site_fract_x
_atom_site_fract_y
_atom_site_fract_z
_atom_site_occupancy
Dy1 Dy 0.2500 0.2500 0.1791 1
Cu1 Cu 0.2500 0.7500 0.5037 1
Au1 Au 0.2500 0.2500 0.7472 1
```

***

(8)
This record from Alexandria via LeMat-Bulk describes an optimized crystal structure of RuRh. The functional is GGA-PBE.

For the total magnetization, the calculation gives 0.0 μB/f.u. As for the density of states at the Fermi level: 6.4 states/eV/cell. For the calculated formation energy, the calculation gives 44 meV/atom.

Cell and atoms, written as CIF:
```
data_RuRh
_cell_length_a 2.7073
_cell_length_b 2.7073
_cell_length_c 7.6735
_cell_angle_alpha 90.00
_cell_angle_beta 90.00
_cell_angle_gamma 90.00
_space_group_name_H-M_alt 'P 4/n m m'
_space_group_IT_number 129
loop_
_space_group_symop_operation_xyz
'x,y,z'
'-x,-y,-z'
'-y+1/2,x,z'
'y+1/2,-x,-z'
'-x+1/2,-y+1/2,z'
'x+1/2,y+1/2,-z'
'y,-x+1/2,z'
'-y,x+1/2,-z'
'x+1/2,-y,-z'
'-x+1/2,y,z'
'-y,-x,-z'
'y,x,z'
'-x,y+1/2,-z'
'x,-y+1/2,z'
'y+1/2,x+1/2,-z'
'-y+1/2,-x+1/2,z'
loop_
_atom_site_label
_atom_site_type_symbol
_atom_site_fract_x
_atom_site_fract_y
_atom_site_fract_z
_atom_site_occupancy
Ru1 Ru 0.2500 0.2500 0.1236 1
Rh1 Rh 0.2500 0.2500 0.6297 1
```

***

(9)
This record from Alexandria via LeMat-Bulk describes an optimized crystal structure of Rb2TaBr5. The functional is GGA-PBE.

The calculation puts the formation energy (no corrections) at -1.11 eV/atom. For the total magnetization, the calculation gives 2.0 μB/f.u. As for the density of states at the Fermi level: 16.1 states/eV/cell.

Cell and atoms, written as CIF:
```
data_Rb2TaBr5
_cell_length_a 12.6039
_cell_length_b 8.1231
_cell_length_c 8.1230
_cell_angle_alpha 90.00
_cell_angle_beta 130.08
_cell_angle_gamma 90.00
_space_group_name_H-M_alt 'C 1 m 1'
_space_group_IT_number 8
loop_
_space_group_symop_operation_xyz
'x,y,z'
'x,-y,z'
'x+1/2,y+1/2,z'
'x+1/2,-y+1/2,z'
loop_
_atom_site_label
_atom_site_type_symbol
_atom_site_fract_x
_atom_site_fract_y
_atom_site_fract_z
_atom_site_occupancy
Rb1 Rb 0.0000 0.0000 0.0000 1
Rb2 Rb 0.0000 0.5000 0.4996 1
Ta1 Ta 0.2978 0.0000 0.7978 1
Br1 Br 0.0531 0.5000 0.0537 1
Br2 Br 0.2475 0.2235 0.5239 1
Br3 Br 0.2470 0.2236 0.9705 1
```

***

(10)
This record from Alexandria via LeMat-Bulk describes an optimized crystal structure of SmPtRh2. The functional is GGA-PBE.

For the total magnetization, the calculation gives 0.0 μB/f.u. As for the density of states at the Fermi level: 23.5 states/eV/cell. For the calculated formation energy, the calculation gives -701 meV/atom.

Cell and atoms, written as CIF:
```
data_SmPtRh2
_cell_length_a 5.3393
_cell_length_b 5.3393
_cell_length_c 26.5833
_cell_angle_alpha 90.00
_cell_angle_beta 90.00
_cell_angle_gamma 120.00
_space_group_name_H-M_alt 'R -3 m'
_space_group_IT_number 166
_space_group_name_Hall '-R 3 2"'
loop_
_atom_site_label
_atom_site_type_symbol
_atom_site_fract_x
_atom_site_fract_y
_atom_site_fract_z
_atom_site_occupancy
Sm1 Sm 0.0000 0.0000 0.0000 1
Sm2 Sm 0.0000 0.0000 0.1388 1
Pt1 Pt 0.0000 0.0000 0.3329 1
Pt2 Pt 0.0000 0.0000 0.5000 1
Rh1 Rh 0.0023 0.5011 0.9169 1
```

***

(11)
This record from Alexandria via LeMat-Bulk describes an optimized crystal structure of TbPu2Ni2Ge2. The functional is GGA-PBE.

For the total magnetization, the calculation gives 0.0 μB/f.u. As for the density of states at the Fermi level: 31.4 states/eV/cell. For the calculated formation energy, the calculation gives -379 meV/atom.

Cell and atoms, written as CIF:
```
data_TbPu2Ni2Ge2
_cell_length_a 4.0440
_cell_length_b 4.0440
_cell_length_c 25.9667
_cell_angle_alpha 90.00
_cell_angle_beta 90.00
_cell_angle_gamma 120.00
_space_group_name_H-M_alt 'R -3 m'
_space_group_IT_number 166
_space_group_name_Hall '-R 3 2"'
loop_
_atom_site_label
_atom_site_type_symbol
_atom_site_fract_x
_atom_site_fract_y
_atom_site_fract_z
_atom_site_occupancy
Tb1 Tb 0.0000 0.0000 0.0000 1
Pu1 Pu 0.0000 0.0000 0.1519 1
Ni1 Ni 0.0000 0.0000 0.4245 1
Ge1 Ge 0.0000 0.0000 0.2625 1
```

***

(12)
This record from Alexandria via LeMat-Bulk describes an optimized crystal structure of Li2BrCl. The functional is GGA-PBE.

The calculation puts the formation energy (no corrections) at -1.38 eV/atom. For the total magnetization, the calculation gives 0.0 μB/f.u. As for the density of states at the Fermi level: 0.0 states/eV/cell.

Cell and atoms, written as CIF:
```
data_Li2BrCl
_cell_length_a 3.4118
_cell_length_b 3.4118
_cell_length_c 6.8100
_cell_angle_alpha 90.00
_cell_angle_beta 90.00
_cell_angle_gamma 90.00
_space_group_name_H-M_alt 'P 4/m m m'
_space_group_IT_number 123
_space_group_name_Hall '-P 4 2'
loop_
_atom_site_label
_atom_site_type_symbol
_atom_site_fract_x
_atom_site_fract_y
_atom_site_fract_z
_atom_site_occupancy
Li1 Li 0.0000 0.0000 0.2432 1
Br1 Br 0.5000 0.5000 0.5000 1
Cl1 Cl 0.5000 0.5000 0.0000 1
```